Compound: YSiTc2
Source: the Alexandria database
Functional: GGA-PBE
Structure: optimized geometry

Lattice parameters (Å, degrees): 4.6808 4.6808 5.1057 75.30 75.30 40.44
Closest atoms and distances in Å follow each position.
Fractional coordinates of all 4 atoms:
Si 0.2500 0.2500 0.2500  4 Tc 2.52
Tc 0.9733 0.9733 0.0690  2 Si 2.52, 2 Tc 2.59
Tc 0.5267 0.5267 0.4310  2 Si 2.52, 2 Tc 2.59
Y 0.7500 0.7500 0.7500  6 Tc 2.87-3.01, 4 Si 3.02

Properties
- VASP energy (eV/atom) = -8.268
- ΔE_f (raw) (eV/f.u.) = -0.5
- crystal system = monoclinic
- space group = No. 12